Entry 1:
The following is a PBE-GGA calculation of a geometry-optimized InAgSnCl6 structure, from Alexandria via LeMat-Bulk.

Summary:
Volume ... 27.6 Å³/atom
E ... -0.235 Ry/atom
Formation energy (no corrections) ... -0.903 eV per atom
Density of states at the Fermi level ... 0.00 states/eV/atom

Cell lengths 6.829, 6.829, 12.287 Å; angles 90.00, 90.00, 120.00 degrees
Positions (direct):
In  0.667  0.333  0.250
In  0.333  0.667  0.750
Ag  0.333  0.667  0.250
Ag  0.667  0.333  0.750
Sn  0.000  0.000  0.000
Sn  0.000  0.000  0.500
Cl  0.661  0.639  0.130
Cl  0.978  0.339  0.130
Cl  0.339  0.978  0.630
Cl  0.022  0.661  0.870
Cl  0.361  0.339  0.370
Cl  0.978  0.639  0.370
Cl  0.639  0.978  0.870
Cl  0.661  0.022  0.370
Cl  0.022  0.361  0.630
Cl  0.361  0.022  0.130
Cl  0.639  0.661  0.630
Cl  0.339  0.361  0.870

---

Entry 2:
The following is a PBE-GGA calculation of a geometry-optimized InAgSn2Cl6 structure, from Alexandria via LeMat-Bulk.

Summary:
Volume ... 32.3 Å³/atom
E ... -0.243 Ry/atom
Formation energy (no corrections) ... -0.844 eV per atom
Density of states at the Fermi level ... 0.00 states/eV/atom

Cell lengths 8.015, 7.745, 8.222 Å; angles 56.80, 57.75, 52.48 degrees
Positions (direct):
In  0.778  0.820  0.589
Ag  0.318  0.284  0.068
Sn  0.494  0.544  0.454
Sn  0.982  0.012  0.970
Cl  0.599  0.225  0.219
Cl  0.204  0.933  0.265
Cl  0.973  0.617  0.226
Cl  0.388  0.735  0.696
Cl  0.727  0.095  0.802
Cl  0.200  0.397  0.725

---

Entry 3:
The following is a PBE-GGA calculation of a geometry-optimized InAg2SnCl8 structure, from Alexandria via LeMat-Bulk.

Summary:
Volume ... 27.4 Å³/atom
E ... -0.224 Ry/atom
Formation energy (no corrections) ... -0.784 eV per atom
Density of states at the Fermi level ... 0.25 states/eV/atom

Cell lengths 6.536, 6.376, 7.932 Å; angles 90.00, 90.00, 95.72 degrees
Positions (direct):
In  0.000  0.000  0.000
Ag  0.500  0.500  0.751
Ag  0.500  0.500  0.249
Sn  0.000  0.000  0.500
Cl  0.168  0.798  0.239
Cl  0.690  0.727  0.000
Cl  0.832  0.202  0.239
Cl  0.832  0.202  0.761
Cl  0.310  0.273  0.000
Cl  0.168  0.798  0.761
Cl  0.687  0.713  0.500
Cl  0.313  0.287  0.500

---

Entry 4:
The following is a PBE-GGA calculation of a geometry-optimized SrInAgCl6 structure, from Alexandria via LeMat-Bulk.

Summary:
Volume ... 28.1 Å³/atom
E ... -0.251 Ry/atom
Formation energy (no corrections) ... -1.380 eV per atom
Density of states at the Fermi level ... 0.00 states/eV/atom

Cell lengths 7.003, 7.003, 11.907 Å; angles 90.00, 90.00, 120.00 degrees
Positions (direct):
Sr  0.333  0.667  0.250
Sr  0.667  0.333  0.750
In  0.667  0.333  0.250
In  0.333  0.667  0.750
Ag  0.000  0.000  0.000
Ag  0.000  0.000  0.500
Cl  0.677  0.638  0.126
Cl  0.962  0.323  0.126
Cl  0.323  0.962  0.626
Cl  0.038  0.677  0.874
Cl  0.362  0.323  0.374
Cl  0.962  0.638  0.374
Cl  0.638  0.962  0.874
Cl  0.677  0.038  0.374
Cl  0.038  0.362  0.626
Cl  0.362  0.038  0.126
Cl  0.638  0.677  0.626
Cl  0.323  0.362  0.874

---

Entry 5:
The following is a PBE-GGA calculation of a geometry-optimized TbIn2AgCl6 structure, from Alexandria via LeMat-Bulk.

Summary:
Volume ... 29.3 Å³/atom
E ... -0.275 Ry/atom
Formation energy (no corrections) ... -1.334 eV per atom
Density of states at the Fermi level ... 0.00 states/eV/atom

Cell lengths 7.299, 7.703, 10.424 Å; angles 90.00, 88.96, 90.00 degrees
Positions (direct):
Tb  0.500  0.000  0.500
Tb  0.000  0.500  0.000
In  0.022  0.926  0.256
In  0.522  0.574  0.756
In  0.978  0.074  0.744
In  0.478  0.426  0.244
Ag  0.500  0.000  0.000
Ag  0.000  0.500  0.500
Cl  0.298  0.689  0.043
Cl  0.798  0.811  0.543
Cl  0.702  0.311  0.957
Cl  0.202  0.189  0.457
Cl  0.312  0.711  0.452
Cl  0.812  0.789  0.952
Cl  0.688  0.289  0.548
Cl  0.188  0.211  0.048
Cl  0.902  0.524  0.247
Cl  0.402  0.976  0.747
Cl  0.098  0.476  0.753
Cl  0.598  0.024  0.253

---

Entry 6:
The following is a PBE-GGA calculation of a geometry-optimized InTcAgCl2 structure, from Alexandria via LeMat-Bulk.

Summary:
Volume ... 28.4 Å³/atom
E ... -0.237 Ry/atom
Formation energy (no corrections) ... 0.706 eV per atom
Density of states at the Fermi level ... 0.48 states/eV/atom

Cell lengths 4.908, 5.896, 4.908 Å; angles 90.00, 90.00, 90.00 degrees
Last column: magnetic moment on the atom in μB.
Positions (direct):
Cl  0.000  0.000  0.500  0.04
Cl  0.500  0.000  0.000  0.04
Tc  0.500  0.500  0.500  3.74
Ag  0.000  0.000  0.000  0.01
In  0.000  0.500  0.000  -0.02